## BaZn2SnPt (PBE-GGA)

Data for crystalline BaZn2SnPt at its relaxed geometry.

Output
The crystal system is tetragonal. The formation enthalpy at 0 K is -0.406 eV/atom. As for the total moment: 0.00 μB/f.u.

abc: 4.9859 4.9859 5.2606
angles: 90.00 90.00 90.00
Fractional positions:
Ba  0.0000  0.0000  0.0000
Zn  0.0000  0.5000  0.5000
Zn  0.5000  0.0000  0.5000
Sn  0.5000  0.5000  0.0000
Pt  0.5000  0.5000  0.5000